(1)
CaPrYHg: optimized geometry, PBE.

The calculation puts the formation energy at -0.248 eV per atom. The energy above the lowest structure with this stoichiometry comes out at 0 meV per atom. The crystal system is tetragonal.

It has space group P4mm (No. 99), with a = 3.6694 Å, b = 3.6694 Å, c = 9.4161 Å, α = 90.00°, β = 90.00° and γ = 90.00°. Symmetry generates all atoms from Ca at (0.0000, 0.0000, 0.0000), Pr at (0.5000, 0.5000, 0.3174), Y at (0.0000, 0.0000, 0.5870) and Hg at (0.5000, 0.5000, 0.7857).

***

(2)
SmSn4Hg: optimized geometry, PBE.

The calculation puts the formation energy at -0.184 eV per atom. The crystal system is cubic.

It has space group F-43m (No. 216), with a = 8.7439 Å, b = 8.7439 Å, c = 8.7439 Å, α = 90.00°, β = 90.00° and γ = 90.00°. Symmetry generates all atoms from Sm at (0.0000, 0.0000, 0.0000), Sn at (0.1251, 0.1251, 0.6251) and Hg at (0.2500, 0.2500, 0.2500).

***

(3)
PrNdYTm3: optimized geometry, PBE.

The calculation puts the formation energy at 0.108 eV per atom. The crystal system is orthorhombic.

It has space group Cmcm (No. 63), with a = 5.8407 Å, b = 11.4336 Å, c = 11.6872 Å, α = 90.00°, β = 90.00° and γ = 90.00°. Symmetry generates all atoms from Pr at (0.0000, 0.0000, 0.0000), Nd at (0.0000, 0.4948, 0.2500), Y at (0.0000, 0.1757, 0.2500), Tm at (0.0000, 0.1703, 0.7500) and Tm at (0.0000, 0.3270, 0.5050).

***

(4)
LiY2Hg4: optimized geometry, PBE.

The calculation puts the formation energy at -0.323 eV per atom. The crystal system is trigonal.

It has space group R-3m (No. 166, hexagonal axes), with a = 4.9012 Å, b = 4.9012 Å, c = 25.7147 Å, α = 90.00°, β = 90.00° and γ = 120.00°. Symmetry generates all atoms from Li at (0.0000, 0.0000, 0.0000), Y at (0.0000, 0.0000, 0.2499), Hg at (0.0000, 0.0000, 0.1292) and Hg at (0.0000, 0.0000, 0.3697).

***

no.,E_tot (eV/atom),magnetic moment (Bohr magnetons per cell)
1,-3.635,0.001
2,-3.689,0.000
3,-4.796,0.000
4,-2.616,0.000